# 1
## CsRbSnTe2 (PBE-GGA)

Data for crystalline CsRbSnTe2 at its relaxed geometry.

**Uncorrected energy**: -31.4 eV/cell
**E_form (uncorrected)**: -0.722 eV per atom
**Theoretical density**: 4.00 g/cm3

Unit cell a=4.717 b=7.951 c=14.073 alpha=102.22 beta=90.00 gamma=107.26
Sites, in units of the cell vectors:
1 Cs 0.346 0.692 0.352
2 Cs 0.654 0.308 0.648
3 Rb 0.643 0.286 0.050
4 Rb 0.357 0.714 0.950
5 Sn 0.070 0.139 0.226
6 Sn 0.930 0.861 0.774
7 Te 0.394 0.788 0.640
8 Te 0.606 0.212 0.360
9 Te 0.120 0.239 0.850
10 Te 0.880 0.761 0.150

***

# 2
## CsRb2TlSn (PBE-GGA)

Data for crystalline CsRb2TlSn at its relaxed geometry.

**Uncorrected energy**: -9.1 eV/cell
**Formation energy**: 0.021 eV/atom
**Theoretical density**: 3.50 g/cm3

Unit cell a=7.147 b=7.147 c=5.821 alpha=90.00 beta=90.00 gamma=90.00
Sites, in units of the cell vectors:
1 Cs 0.500 0.500 0.500
2 Tl 0.000 0.000 0.000
3 Sn 0.000 0.000 0.500
4 Rb 0.000 0.500 0.000
5 Rb 0.500 0.000 0.000

***

# 3
## Cs2RbTlSn (PBE-GGA)

Data for crystalline Cs2RbTlSn at its relaxed geometry.

**Uncorrected energy**: -8.9 eV/cell
**Offset from the most stable computed form**: 0.00 eV per formula unit
**Formation energy**: 0.030 eV/atom
**Theoretical density**: 3.17 g/cm3

Unit cell a=7.803 b=7.803 c=5.802 alpha=90.00 beta=90.00 gamma=90.00
Sites, in units of the cell vectors:
1 Cs 0.000 0.500 0.000
2 Cs 0.500 0.000 0.000
3 Tl 0.000 0.000 0.500
4 Sn 0.000 0.000 0.000
5 Rb 0.500 0.500 0.500

***

# 4
## Cs2Rb4ZnSn2 (PBE-GGA)

Data for crystalline Cs2Rb4ZnSn2 at its relaxed geometry.

**Uncorrected energy**: -15.3 eV/cell
**Formation energy**: -0.051 eV/atom
**Theoretical density**: 3.28 g/cm3

Unit cell a=6.793 b=8.940 c=8.940 alpha=60.95 beta=77.97 gamma=77.97
Sites, in units of the cell vectors:
1 Cs 0.261 0.646 0.646
2 Cs 0.739 0.354 0.354
3 Rb 0.219 0.653 0.096
4 Rb 0.781 0.904 0.347
5 Rb 0.781 0.347 0.904
6 Rb 0.219 0.096 0.653
7 Zn 0.500 0.000 0.000
8 Sn 0.263 0.164 0.164
9 Sn 0.737 0.836 0.836

***

# 5
## CsRb2Sr2 (PBE-GGA)

Data for crystalline CsRb2Sr2 at its relaxed geometry.

**Uncorrected energy**: -10.3 eV/cell
**Offset from the most stable computed form**: 0.12 eV per formula unit
**Formation energy**: 0.203 eV/atom
**Theoretical density**: 2.01 g/cm3

Unit cell a=12.899 b=12.899 c=4.753 alpha=90.00 beta=90.00 gamma=90.00
Sites, in units of the cell vectors:
1 Cs 0.000 0.000 0.000
2 Cs 0.500 0.500 0.000
3 Sr 0.160 0.660 0.500
4 Sr 0.660 0.840 0.500
5 Sr 0.840 0.340 0.500
6 Sr 0.340 0.160 0.500
7 Rb 0.365 0.865 0.000
8 Rb 0.865 0.635 0.000
9 Rb 0.635 0.135 0.000
10 Rb 0.135 0.365 0.000

***

# 6
## CsRbSr2 (PBE-GGA)

Data for crystalline CsRbSr2 at its relaxed geometry.

**Uncorrected energy**: -4.3 eV/cell
**Offset from the most stable computed form**: 0.00 eV per formula unit
**Formation energy**: 0.219 eV/atom
**Theoretical density**: 2.26 g/cm3

Unit cell a=7.427 b=7.427 c=7.427 alpha=60.00 beta=60.00 gamma=60.00
Sites, in units of the cell vectors:
1 Cs 0.500 0.500 0.500
2 Sr 0.250 0.250 0.250
3 Sr 0.750 0.750 0.750
4 Rb 0.000 0.000 0.000

***

# 7
## Cs2Rb2Sr (PBE-GGA)

Data for crystalline Cs2Rb2Sr at its relaxed geometry.

**Uncorrected energy**: -9.1 eV/cell
**Offset from the most stable computed form**: 0.00 eV per formula unit
**Formation energy**: 0.157 eV/atom
**Theoretical density**: 1.96 g/cm3

Unit cell a=12.862 b=12.862 c=5.367 alpha=90.00 beta=90.00 gamma=90.00
Sites, in units of the cell vectors:
1 Cs 0.176 0.676 0.500
2 Cs 0.676 0.824 0.500
3 Cs 0.824 0.324 0.500
4 Cs 0.324 0.176 0.500
5 Sr 0.000 0.000 0.000
6 Sr 0.500 0.500 0.000
7 Rb 0.372 0.872 0.000
8 Rb 0.872 0.628 0.000
9 Rb 0.628 0.128 0.000
10 Rb 0.128 0.372 0.000

***

# 8
## Cs7Rb12Sr (PBE-GGA)

Data for crystalline Cs7Rb12Sr at its relaxed geometry.

**Uncorrected energy**: -17.9 eV/cell
**Formation energy**: 0.067 eV/atom
**Theoretical density**: 1.67 g/cm3

Unit cell a=12.813 b=12.813 c=12.813 alpha=81.30 beta=81.30 gamma=81.30
Sites, in units of the cell vectors:
1 Cs 0.107 0.696 0.746
2 Cs 0.304 0.254 0.893
3 Cs 0.254 0.893 0.304
4 Cs 0.500 0.500 0.500
5 Cs 0.746 0.107 0.696
6 Cs 0.696 0.746 0.107
7 Cs 0.893 0.304 0.254
8 Rb 0.937 0.360 0.854
9 Rb 0.640 0.146 0.063
10 Rb 0.478 0.158 0.404
11 Rb 0.842 0.596 0.522
12 Rb 0.146 0.063 0.640
13 Rb 0.596 0.522 0.842
14 Rb 0.404 0.478 0.158
15 Rb 0.854 0.937 0.360
16 Rb 0.158 0.404 0.478
17 Rb 0.522 0.842 0.596
18 Rb 0.360 0.854 0.937
19 Rb 0.063 0.640 0.146
20 Sr 0.000 0.000 0.000

***

# 9
## Cs2RbSr (PBE-GGA)

Data for crystalline Cs2RbSr at its relaxed geometry.

**Uncorrected energy**: -3.8 eV/cell
**Offset from the most stable computed form**: 0.09 eV per formula unit
**Formation energy**: 0.131 eV/atom
**Theoretical density**: 2.08 g/cm3

Unit cell a=5.195 b=8.218 c=8.218 alpha=90.00 beta=90.00 gamma=90.00
Sites, in units of the cell vectors:
1 Cs 0.000 0.000 0.500
2 Cs 0.000 0.500 0.000
3 Sr 0.500 0.500 0.500
4 Rb 0.500 0.000 0.000

***

# 10
## Cs5Rb6Sr (PBE-GGA)

Data for crystalline Cs5Rb6Sr at its relaxed geometry.

**Uncorrected energy**: -11.2 eV/cell
**Formation energy**: 0.047 eV/atom
**Theoretical density**: 1.85 g/cm3

Unit cell a=8.646 b=10.464 c=13.578 alpha=67.54 beta=87.55 gamma=90.11
Sites, in units of the cell vectors:
1 Cs 0.679 0.165 0.670
2 Cs 0.336 0.332 0.336
3 Cs 0.000 0.500 0.000
4 Cs 0.664 0.668 0.664
5 Cs 0.321 0.835 0.330
6 Sr 0.000 0.000 0.000
7 Rb 0.836 0.598 0.320
8 Rb 0.837 0.082 0.320
9 Rb 0.500 0.765 0.000
10 Rb 0.500 0.235 0.000
11 Rb 0.163 0.918 0.680
12 Rb 0.164 0.402 0.680

***

# 11
## CsRbSr2 (PBE-GGA)

Data for crystalline CsRbSr2 at its relaxed geometry.

**Uncorrected energy**: -7.7 eV/cell
**Offset from the most stable computed form**: 0.45 eV per formula unit
**Formation energy**: 0.331 eV/atom
**Theoretical density**: 2.11 g/cm3

Unit cell a=11.945 b=11.945 c=9.493 alpha=51.01 beta=51.01 gamma=90.00
Sites, in units of the cell vectors:
1 Cs 0.000 0.000 0.000
2 Cs 0.750 0.250 0.500
3 Sr 0.617 0.125 0.250
4 Sr 0.133 0.625 0.250
5 Sr 0.375 0.383 0.750
6 Sr 0.875 0.867 0.750
7 Rb 0.500 0.500 0.000
8 Rb 0.250 0.750 0.500

***

# 12
## Cs2RbSr (PBE-GGA)

Data for crystalline Cs2RbSr at its relaxed geometry.

**Uncorrected energy**: -3.8 eV/cell
**Offset from the most stable computed form**: 0.11 eV per formula unit
**Formation energy**: 0.136 eV/atom
**Theoretical density**: 2.06 g/cm3

Unit cell a=7.938 b=7.938 c=7.938 alpha=60.00 beta=60.00 gamma=60.00
Sites, in units of the cell vectors:
1 Cs 0.250 0.250 0.250
2 Cs 0.750 0.750 0.750
3 Sr 0.500 0.500 0.500
4 Rb 0.000 0.000 0.000